# CdSiS2

CdSiS2 after structural relaxation (PBE-GGA, the Alexandria database).

a b c (Å): 9.4435 9.4435 9.4435
angles (deg): 19.99 19.99 19.99
Closest atoms and distances in Å follow each position.
Positions (direct):
1 Cd 0.0000 0.0000 0.0000  6 Cd 3.28, 2 S 3.30
2 S 0.1189 0.1189 0.1189  3 Si 2.31
3 S 0.8811 0.8811 0.8811  3 Si 2.31
4 Si 0.5000 0.5000 0.5000  6 S 2.31

Raw formation energy in meV/atom: -353

# MgAlW2

MgAlW2 after structural relaxation (PBE-GGA, the Alexandria database).

a b c (Å): 9.4874 9.4874 9.4874
angles (deg): 17.34 17.34 17.34
Closest atoms and distances in Å follow each position.
Positions (direct):
1 W 0.9963 0.9963 0.9963  3 Al 2.78, 6 W 2.86, 3 Mg 2.94
2 W 0.5037 0.5037 0.5037  3 Al 2.78, 6 W 2.86, 3 Mg 2.94
3 Mg 0.7500 0.7500 0.7500  6 Mg 2.86, 6 W 2.94
4 Al 0.2500 0.2500 0.2500  6 W 2.78, 6 Al 2.86

Energy relative to the lowest polymorph listed for this composition in eV/f.u.: 0.67
Formation energy in meV/atom: 319

# CaHgN2O

CaHgN2O after structural relaxation (PBE-GGA, the Alexandria database).

a b c (Å): 4.2150 4.2150 4.4128
angles (deg): 90.00 90.00 90.00
Closest atoms and distances in Å follow each position.
Positions (direct):
1 Ca 0.5000 0.5000 0.5000  4 O 2.98, 8 N 3.05
2 N 0.0000 0.5000 0.0000  2 Hg 2.11
3 N 0.5000 0.0000 0.0000  2 Hg 2.11
4 O 0.0000 0.0000 0.5000  2 Hg 2.21
5 Hg 0.0000 0.0000 0.0000  4 N 2.11, 2 O 2.21

Raw formation energy in meV/atom: 815

# AcTb5Y2Tm

AcTb5Y2Tm after structural relaxation (PBE-GGA, the Alexandria database).

a b c (Å): 5.5201 12.3519 9.2984
angles (deg): 90.00 90.00 102.91
Closest atoms and distances in Å follow each position.
Positions (direct):
1 Tm 0.2426 0.4851 0.0425  4 Tb 3.08-3.32
2 Y 0.1132 0.2264 0.2737  9 Tb 3.39-3.77, 1 Tm 3.78
3 Tb 0.0092 0.0185 0.5217  2 Y 3.40-3.77, 6 Tb 3.55-3.77
4 Tb 0.5234 0.0468 0.2472  3 Tb 3.25-3.55, 2 Ac 3.47-3.51, 2 Y 3.52
5 Ac 0.6022 0.2044 0.9302  5 Tb 3.43-3.75
6 Y 0.8868 0.7736 0.7737  9 Tb 3.39-3.77, 1 Tm 3.78
7 Y 0.1703 0.3406 0.6839  6 Tb 3.32-3.70, 2 Tm 3.71
8 Y 0.8297 0.6594 0.1839  6 Tb 3.32-3.70, 2 Tm 3.71
9 Tb 0.9908 0.9815 0.0217  2 Y 3.40-3.77, 6 Tb 3.55-3.77
10 Tb 0.3959 0.7917 0.0266  4 Tb 3.25-3.58, 4 Y 3.51-3.63
11 Tb 0.2571 0.5143 0.3719  3 Tm 3.08-3.18, 1 Ac 3.43, 2 Tb 3.44
12 Ac 0.3978 0.7956 0.4302  5 Tb 3.43-3.75
13 Tb 0.6930 0.3859 0.2264  3 Y 3.32-3.39, 3 Tm 3.32-3.46, 4 Tb 3.44-3.52, 1 Ac 3.52
14 Tm 0.7574 0.5149 0.5425  4 Tb 3.08-3.32
15 Tb 0.3070 0.6141 0.7264  3 Y 3.32-3.39, 3 Tm 3.32-3.46, 4 Tb 3.44-3.52, 1 Ac 3.52
16 Tb 0.6041 0.2083 0.5266  4 Tb 3.25-3.58, 4 Y 3.51-3.63
17 Tb 0.4766 0.9532 0.7472  3 Tb 3.25-3.55, 2 Ac 3.47-3.51, 2 Y 3.52
18 Tb 0.7429 0.4857 0.8719  3 Tm 3.08-3.18, 1 Ac 3.43, 2 Tb 3.44

Formation energy in meV/atom: 149

# BaNpIn2F8

BaNpIn2F8 after structural relaxation (PBE-GGA, the Alexandria database).

a b c (Å): 4.1147 6.6960 8.4487
angles (deg): 90.00 90.00 90.11
Closest atoms and distances in Å follow each position.
Positions (direct):
1 F 0.0009 0.8002 0.7891  1 Np 2.23
2 F 0.9991 0.1998 0.7890  1 Np 2.23
3 F 0.0009 0.8002 0.2110  1 Np 2.23
4 Np 0.0000 0.0000 0.0000  8 F 2.23-2.39
5 F 0.4994 0.1809 0.0000  2 Np 2.38-2.39, 1 F 2.42
6 F 0.5006 0.8191 0.0000  2 Np 2.38-2.39, 1 F 2.42
7 F 0.9991 0.1998 0.2109  1 Np 2.23
8 In 0.5000 0.5000 0.2585  6 F 2.64-2.90
9 Ba 0.0000 0.0000 0.5000  8 F 2.66-2.78
10 In 0.5000 0.5000 0.7415  6 F 2.64-2.90
11 F 0.5007 0.2508 0.5000  2 In 2.64, 2 Ba 2.66
12 F 0.4993 0.7492 0.5000  2 In 2.64, 2 Ba 2.66

Raw formation energy in meV/atom: -2968

# ScTa2I2

ScTa2I2 after structural relaxation (PBE-GGA, the Alexandria database).

a b c (Å): 5.1806 5.1806 5.9426
angles (deg): 64.16 64.16 90.00
Closest atoms and distances in Å follow each position.
Positions (direct):
1 I 0.7500 0.2500 0.5000  4 Ta 2.82
2 I 0.2500 0.7500 0.5000  4 Ta 2.82
3 Ta 0.6304 0.6304 0.7392  1 Ta 2.44
4 Sc 0.0000 0.0000 0.0000  10 Ta 3.46-3.86, 8 I 3.49
5 Ta 0.3696 0.3696 0.2608  1 Ta 2.44

Raw formation energy in meV/atom: 752
Energy relative to the lowest polymorph listed for this composition in eV/f.u.: 0.00